[1]
A crystal of Cu3TeS3Cl relaxed with PBEsol. Source: the Alexandria database, functional meta-GGA SCAN.

Lattice parameters (Å, degrees): 5.383 5.383 5.383 84.89 84.89 84.89
Positions (direct):
Cu 0.193 0.193 0.615
Cu 0.193 0.615 0.193
Cu 0.615 0.193 0.193
Te 0.675 0.675 0.675
S 0.389 0.389 0.891
S 0.389 0.891 0.389
S 0.891 0.389 0.389
Cl 0.989 0.989 0.989

Output
Electronic total energy ... -121.98 eV per formula unit
Formation energy from raw total energies ... -0.28 eV/atom
Calculated density ... 4.8 g cm⁻³

***

[2]
A crystal of IrRu2 relaxed with PBEsol. Source: the Alexandria database, functional meta-GGA SCAN.

Lattice parameters (Å, degrees): 2.675 3.784 8.033 90.00 90.00 90.00
Positions (direct):
Ir 0.000 0.000 0.000
Ir 0.500 0.500 0.500
Ru 0.000 0.000 0.332
Ru 0.000 0.000 0.668
Ru 0.500 0.500 0.168
Ru 0.500 0.500 0.832

Output
Energy above the most stable polymorph in this dataset ... 0.0686 eV per atom
Electronic total energy ... -140.78 eV per formula unit
Formation enthalpy at 0 K ... -0.01 eV/atom
Calculated density ... 16.1 g cm⁻³

***

[3]
A crystal of SbTe3 relaxed with PBEsol. Source: the Alexandria database, functional meta-GGA SCAN.

Lattice parameters (Å, degrees): 7.609 4.380 7.740 90.00 107.94 90.00
Positions (direct):
Sb 0.000 0.000 0.000
Sb 0.500 0.500 0.000
Te 0.000 0.500 0.500
Te 0.244 0.500 0.240
Te 0.256 0.000 0.760
Te 0.500 0.000 0.500
Te 0.744 0.000 0.240
Te 0.756 0.500 0.760

Output
Electronic total energy ... -148.98 eV per formula unit
Formation energy from raw total energies ... 0.01 eV/atom
Calculated density ... 6.8 g cm⁻³